DFT (PBE) results for a relaxed Ca4ScRe crystal.

Properties
Fermi-level density of states (states/eV/cell): 34.24
Formation energy from the elements (eV per atom): 1.125

Cell lengths 8.8810, 8.8810, 8.8810 Å; angles 90.00, 90.00, 90.00 degrees
Last column: nearest neighbours and their distance in Å.
Space group F-43m (No. 216)
One atom of each set of equivalent atoms:
Ca 0.1238 0.1238 0.1238  6 Ca 3.11-3.17
Sc 0.0000 0.0000 0.5000  12 Ca 3.69, 4 Re 3.85
Re 0.2500 0.2500 0.7500  12 Ca 3.68, 4 Sc 3.85